[1]
Density functional theory data (PBE-GGA) for a geometry-optimized LaSm7Sc2 structure.

```
10
Lattice="5.159 -1.591 0.797 -2.867 7.545 -3.792 1.431 -0.012 9.393" Properties=species:S:1:pos:R:3 pbc="T T T"
La 0.000 0.000 0.000
Sm 3.724 4.413 3.353
Sm 0.000 1.529 3.045
Sm 0.565 4.387 5.074
Sm 3.159 1.555 1.323
Sm -0.867 6.090 -0.953
Sm 4.591 -0.148 7.350
Sm 1.146 2.977 -1.498
Sc 1.144 4.470 1.473
Sc 2.579 1.472 4.924
```

Calculated values
DFT total energy ... -5.0160 eV/atom
Relative energy among the computed polymorphs ... 0.000 eV per atom
Space group ... No. 2
ΔH_f (0 K) ... 0.46 eV per formula unit
Mass density ... 6.6 Mg/m³

=====

[2]
Density functional theory data (PBE-GGA) for a geometry-optimized La2SmSc structure.

```
4
Lattice="-0.143 4.826 -1.296 -1.634 -1.300 -4.660 -4.835 0.290 1.614" Properties=species:S:1:pos:R:3 pbc="T T T"
Sc -0.072 2.413 -0.648
Sm -3.306 1.908 -2.171
La -2.418 0.145 0.807
La -0.817 -0.650 -2.330
```

Calculated values
DFT total energy ... -5.1841 eV/atom
Relative energy among the computed polymorphs ... 0.000 eV per atom
Space group ... No. 123
ΔH_f (0 K) ... 0.17 eV per formula unit
Mass density ... 6.0 Mg/m³